# SmY2Zn4Si4 PBE optimized geometry
data_SmY2Zn4Si4
_symmetry_space_group_name_H-M 'I m m m'
_symmetry_Int_Tables_number 71
_symmetry_space_group_name_Hall '-I 2 2'
_cell_length_a 4.0454
_cell_length_b 4.1134
_cell_length_c 24.7048
_cell_angle_alpha 90.00
_cell_angle_beta 90.00
_cell_angle_gamma 90.00
loop_
_atom_site_label
_atom_site_type_symbol
_atom_site_fract_x
_atom_site_fract_y
_atom_site_fract_z
Sm1 Sm 0.0000 0.0000 0.0000
Y1 Y 0.0000 0.5000 0.1434
Zn1 Zn 0.0000 0.0000 0.2504
Zn2 Zn 0.0000 0.5000 0.4058
Si1 Si 0.0000 0.0000 0.4525
Si2 Si 0.0000 0.5000 0.3107
# electronic total energy: -4.58 eV per atom